Here is a relaxed MgNbF crystal from the Open Quantum Materials Database. Energies are from PBE.

## Properties
* crystal system: cubic
* total DFT energy (no corrections): -3.745 eV per atom

Unit cell a=4.538 b=4.538 c=4.538 alpha=60.00 beta=60.00 gamma=60.00
Site moments in Bohr magnetons follow the coordinates.
Fractional coordinates of all 3 atoms:
F1 0.500 0.500 0.500  0.07
Mg1 0.750 0.750 0.750  0.04
Nb1 0.000 0.000 0.000  2.79